[1]
Here is CaI3N after structural relaxation from the Alexandria database. Energies are from GGA-PBE.

a = 6.163 Å, b = 6.163 Å, c = 6.163 Å
α = 90.00°, β = 90.00°, γ = 90.00°
Space group Pm-3m (No. 221)
Symmetry-distinct sites (fractional):
Ca: 0.000 0.000 0.000 [1 per cell]
I: 0.000 0.000 0.500 [3 per cell]
N: 0.500 0.500 0.500 [1 per cell]

## Properties
The energy above the most stable polymorph in this dataset is 524 meV per atom.

[2]
Here is Rb2YAsO after structural relaxation from the Alexandria database. Energies are from GGA-PBE.

a = 5.499 Å, b = 5.499 Å, c = 4.564 Å
α = 90.00°, β = 90.00°, γ = 90.00°
Space group P4/mmm (No. 123)
Symmetry-distinct sites (fractional):
Rb: 0.000 0.500 0.000 [2 per cell]
Y: 0.000 0.000 0.500 [1 per cell]
As: 0.500 0.500 0.500 [1 per cell]
O: 0.000 0.000 0.000 [1 per cell]

[3]
Here is TmMn2BC after structural relaxation from the Alexandria database. Energies are from GGA-PBE.

a = 3.480 Å, b = 9.864 Å, c = 6.653 Å
α = 90.00°, β = 90.00°, γ = 90.00°
Space group Cmcm (No. 63)
Symmetry-distinct sites (fractional):
Tm: 0.000 0.040 0.250 [4 per cell]
Mn: 0.000 0.318 0.061 [8 per cell]
B: 0.000 0.235 0.750 [4 per cell]
C: 0.000 0.500 0.000 [4 per cell]

## Properties
Its energy of formation is -0.413 eV/atom.

[4]
Here is NiSn2Br after structural relaxation from the Alexandria database. Energies are from GGA-PBE.

a = 7.132 Å, b = 7.132 Å, c = 7.132 Å
α = 90.00°, β = 90.00°, γ = 90.00°
Space group Fm-3m (No. 225)
Symmetry-distinct sites (fractional):
Ni: 0.000 0.000 0.000 [4 per cell]
Sn: 0.250 0.250 0.250 [8 per cell]
Br: 0.000 0.000 0.500 [4 per cell]

## Properties
The energy above the most stable polymorph in this dataset is 323 meV per atom.

[5]
Here is Cs2YCdF6 after structural relaxation from the Alexandria database. Energies are from GGA-PBE.

a = 9.562 Å, b = 9.562 Å, c = 9.562 Å
α = 90.00°, β = 90.00°, γ = 90.00°
Space group Fm-3m (No. 225)
Symmetry-distinct sites (fractional):
Cs: 0.250 0.250 0.250 [8 per cell]
Y: 0.000 0.000 0.000 [4 per cell]
Cd: 0.000 0.000 0.500 [4 per cell]
F: 0.000 0.000 0.230 [24 per cell]

[6]
Here is Tl4CdSb after structural relaxation from the Alexandria database. Energies are from GGA-PBE.

a = 7.959 Å, b = 7.959 Å, c = 12.267 Å
α = 90.00°, β = 90.00°, γ = 90.00°
Space group I4/mcm (No. 140)
Symmetry-distinct sites (fractional):
Tl: 0.148 0.352 0.137 [16 per cell]
Cd: 0.000 0.000 0.000 [4 per cell]
Sb: 0.000 0.000 0.250 [4 per cell]

## Properties
The energy above the most stable polymorph in this dataset is 0 meV per atom.

[7]
Here is TaIn2Pt after structural relaxation from the Alexandria database. Energies are from GGA-PBE.

a = 6.775 Å, b = 6.775 Å, c = 6.775 Å
α = 90.00°, β = 90.00°, γ = 90.00°
Space group F-43m (No. 216)
Symmetry-distinct sites (fractional):
Ta: 0.000 0.000 0.000 [4 per cell]
In: 0.000 0.000 0.500 [4 per cell]
In: 0.250 0.250 0.750 [4 per cell]
Pt: 0.250 0.250 0.250 [4 per cell]

## Properties
Its energy of formation is 0.208 eV/atom. The energy above the most stable polymorph in this dataset is 343 meV per atom.

[8]
Here is YMg3Ru after structural relaxation from the Alexandria database. Energies are from GGA-PBE.

a = 5.345 Å, b = 5.902 Å, c = 7.352 Å
α = 90.00°, β = 106.32°, γ = 90.00°
Space group P2_1/m (No. 11)
Symmetry-distinct sites (fractional):
Y: 0.106 0.250 0.413 [2 per cell]
Mg: 0.016 0.250 0.882 [2 per cell]
Mg: 0.495 0.503 0.792 [4 per cell]
Ru: 0.340 0.750 0.466 [2 per cell]

## Properties
Its energy of formation is -0.146 eV/atom. The energy above the most stable polymorph in this dataset is 0 meV per atom.

[9]
Here is KSr2Tc after structural relaxation from the Alexandria database. Energies are from GGA-PBE.

a = 8.067 Å, b = 3.705 Å, c = 11.550 Å
α = 90.00°, β = 95.06°, γ = 90.00°
Space group C2/m (No. 12)
Symmetry-distinct sites (fractional):
K: 0.000 0.000 0.000 [2 per cell]
Sr: 0.224 0.000 0.666 [4 per cell]
Tc: 0.000 0.500 0.500 [2 per cell]

## Properties
Its energy of formation is 0.749 eV/atom. The energy above the most stable polymorph in this dataset is 131 meV per atom.

[10]
Here is SrHIrAu2 after structural relaxation from the Alexandria database. Energies are from GGA-PBE.

a = 5.238 Å, b = 5.238 Å, c = 3.671 Å
α = 90.00°, β = 90.00°, γ = 90.00°
Space group P4/mmm (No. 123)
Symmetry-distinct sites (fractional):
Sr: 0.000 0.000 0.000 [1 per cell]
H: 0.500 0.500 0.000 [1 per cell]
Ir: 0.500 0.500 0.500 [1 per cell]
Au: 0.000 0.500 0.500 [2 per cell]

[11]
Here is SrNiP2W after structural relaxation from the Alexandria database. Energies are from GGA-PBE.

a = 3.931 Å, b = 3.931 Å, c = 12.199 Å
α = 90.00°, β = 90.00°, γ = 90.00°
Space group I-4m2 (No. 119)
Symmetry-distinct sites (fractional):
Sr: 0.000 0.000 0.000 [2 per cell]
Ni: 0.000 0.500 0.750 [2 per cell]
P: 0.000 0.000 0.357 [4 per cell]
W: 0.000 0.500 0.250 [2 per cell]

## Properties
Its energy of formation is -0.651 eV/atom.

[12]
Here is Sm4OsAu after structural relaxation from the Alexandria database. Energies are from GGA-PBE.

a = 9.072 Å, b = 13.419 Å, c = 6.338 Å
α = 90.00°, β = 119.61°, γ = 90.00°
Space group C2/c (No. 15)
Symmetry-distinct sites (fractional):
Sm: 0.117 0.175 0.085 [8 per cell]
Sm: 0.211 0.432 0.304 [8 per cell]
Os: 0.000 0.001 0.750 [4 per cell]
Au: 0.000 0.371 0.750 [4 per cell]

## Properties
Its energy of formation is -0.367 eV/atom.

[13]
Here is La2PI after structural relaxation from the Alexandria database. Energies are from GGA-PBE.

a = 7.093 Å, b = 7.093 Å, c = 13.223 Å
α = 90.00°, β = 90.00°, γ = 90.00°
Space group I-42d (No. 122)
Symmetry-distinct sites (fractional):
La: 0.197 0.250 0.125 [8 per cell]
P: 0.000 0.000 0.000 [4 per cell]
I: 0.000 0.000 0.500 [4 per cell]

| no. | total DFT energy (no corrections) (Ry per atom) |
| --- | --- |
| 1 | -0.1996 |
| 2 | -0.3301 |
| 3 | -0.5994 |
| 4 | -0.2596 |
| 5 | -0.3677 |
| 6 | -0.1742 |
| 7 | -0.4141 |
| 8 | -0.3124 |
| 9 | -0.2174 |
| 10 | -0.3059 |
| 11 | -0.5070 |
| 12 | -0.4359 |
| 13 | -0.3738 |